Crystalline K2U2PaS6 at its relaxed geometry, computed with PBE.

Structure (POSCAR):
```
K2U2PaS6
1.0
6.910 -0.020 0.067
-3.433 5.997 0.067
-1.231 -2.115 7.572
U Pa K S
2 1 2 6
direct
0.665 0.335 0.500
0.335 0.665 0.500
0.000 0.000 0.500
0.832 0.168 0.000
0.168 0.832 0.000
0.738 0.738 0.701
0.603 0.936 0.302
0.397 0.064 0.698
0.064 0.397 0.698
0.262 0.262 0.299
0.936 0.603 0.302
```

VASP energy in eV for the cell shown: -75.2
Energy relative to the elements, uncorrected in eV per atom: -1.47

Crystalline TmScRu2 at its relaxed geometry, computed with PBE.

Structure (POSCAR):
```
TmScRu2
1.0
3.282 0.000 0.000
0.000 3.282 0.000
0.000 0.000 6.570
Ru Sc Tm
2 1 1
direct
0.000 0.000 0.239
0.000 0.000 0.761
0.500 0.500 0.000
0.500 0.500 0.500
```

VASP energy in eV for the cell shown: -31.2

Crystalline FeRe2Cl at its relaxed geometry, computed with PBE.

Structure (POSCAR):
```
FeRe2Cl
1.0
2.762 0.045 0.000
-1.331 2.421 0.000
0.000 0.000 8.796
Re Fe Cl
2 1 1
direct
0.000 0.000 0.510
0.000 0.000 0.990
0.500 0.500 0.750
0.500 0.500 0.250
```

VASP energy in eV for the cell shown: -32.3
Energy relative to the lowest polymorph listed for this composition in meV per atom: 435
Energy relative to the elements, uncorrected in eV per atom: 0.74

Crystalline CsNa8Hg6 at its relaxed geometry, computed with PBE.

Structure (POSCAR):
```
CsNa8Hg6
1.0
8.483 0.000 4.451
3.073 7.906 4.451
1.044 0.714 8.318
Na Hg Cs
8 6 1
direct
0.787 0.130 0.642
0.130 0.441 0.642
0.559 0.213 0.358
0.213 0.870 0.358
0.870 0.559 0.358
0.441 0.787 0.642
0.688 0.688 0.937
0.312 0.312 0.063
0.063 0.674 0.851
0.674 0.412 0.851
0.326 0.588 0.149
0.937 0.326 0.149
0.412 0.063 0.851
0.588 0.937 0.149
0.000 0.000 0.000
```

VASP energy in eV for the cell shown: -15.6

Crystalline TcBr2 at its relaxed geometry, computed with PBE.

Structure (POSCAR):
```
TcBr2
1.0
-3.442 -1.274 0.206
2.754 -2.277 -0.861
0.896 -1.369 6.491
Tc Br
1 2
direct
0.000 0.000 0.000
0.333 0.667 0.222
0.667 0.333 0.778
```

VASP energy in eV for the cell shown: -13.5
Energy relative to the lowest polymorph listed for this composition in meV per atom: 371
Energy relative to the elements, uncorrected in eV per atom: 0.06

Crystalline Sc2PCl at its relaxed geometry, computed with PBE.

Structure (POSCAR):
```
Sc2PCl
1.0
4.725 0.010 -0.074
-0.072 4.724 -0.074
0.366 0.372 3.175
Cl Sc P
1 2 1
direct
0.500 0.000 0.500
0.500 0.500 0.000
0.000 0.000 0.000
0.000 0.500 0.500
```

VASP energy in eV for the cell shown: -24.0
Energy relative to the elements, uncorrected in eV per atom: -1.02